1.
NbZnFeNi: optimized geometry, GGA-PBE.

Summary:
Its formation energy from the elements is 0.08 eV per atom. The energy relative to the lowest polymorph listed for this composition comes out at 183 meV/atom.

a b c (Å): 4.273 4.273 4.273
angles (deg): 60.00 60.00 60.00
Fractional positions:
Nb 0.000 0.000 0.000
Zn 0.250 0.250 0.250
Fe 0.500 0.500 0.500
Ni 0.750 0.750 0.750

2.
Mg2ZnFeCu4: optimized geometry, GGA-PBE.

a b c (Å): 4.162 4.162 6.118
angles (deg): 90.00 90.00 90.00
Fractional positions:
Mg 0.000 0.000 0.000
Mg 0.500 0.500 0.500
Zn 0.000 0.000 0.500
Fe 0.500 0.500 0.000
Cu 0.000 0.500 0.239
Cu 0.000 0.500 0.761
Cu 0.500 0.000 0.239
Cu 0.500 0.000 0.761

| no. | raw total energy (eV per atom) |
| --- | --- |
| 1 | -6.22 |
| 2 | -3.43 |